No. 1
Compound: V3GaRu
Source: the Alexandria database
Functional: PBE
Structure: optimized geometry

Summary:
* energy above the lowest structure with this stoichiometry: 0.00 eV per formula unit
* energy: -7.7032 eV/atom
* energy of formation from the pure elements: 228 meV/atom

Unit cell a=6.6858 b=2.6099 c=8.7918 alpha=90.00 beta=109.28 gamma=90.00
Closest atoms and distances in Å follow each position.
Space group P2/m (No. 10)
One atom of each set of equivalent atoms:
1 V 0.0000 0.0000 0.0000 (multiplicity 1)  6 V 2.51-2.61, 4 Ga 2.71
2 V 0.0923 0.0000 0.3013 (multiplicity 2)  2 Ru 2.50-2.54, 5 V 2.51-2.71
3 V 0.3905 0.0000 0.1821 (multiplicity 2)  5 V 2.54-2.64, 1 Ru 2.63, 4 Ga 2.75-2.81
4 V 0.5000 0.0000 0.5000 (multiplicity 1)  2 Ru 2.33
5 Ga 0.2797 0.5000 0.8901 (multiplicity 2)  2 Ga 2.61, 8 V 2.71-2.82, 2 Ru 2.72
6 Ru 0.2243 0.0000 0.6071 (multiplicity 2)  3 V 2.33-2.54

---

No. 2
Compound: Tb3ThH8
Source: the Alexandria database
Functional: PBE
Structure: optimized geometry

Summary:
* energy: -4.6661 eV/atom

Unit cell a=5.2855 b=5.2855 c=5.2855 alpha=90.00 beta=90.00 gamma=90.00
Closest atoms and distances in Å follow each position.
Space group Pm-3m (No. 221)
One atom of each set of equivalent atoms:
1 Tb 0.0000 0.0000 0.5000 (multiplicity 3)  8 H 2.27
2 Th 0.5000 0.5000 0.5000 (multiplicity 1)  8 H 2.34
3 H 0.2447 0.2447 0.2447 (multiplicity 8)  3 Tb 2.27, 1 Th 2.34

---

No. 3
Compound: Y2TeAs
Source: the Alexandria database
Functional: PBE
Structure: optimized geometry

Summary:
* energy above the lowest structure with this stoichiometry: 1.73 eV per formula unit
* energy: -6.2640 eV/atom

Unit cell a=7.4233 b=7.5251 c=3.6915 alpha=90.00 beta=98.40 gamma=90.00
Closest atoms and distances in Å follow each position.
Space group C2/m (No. 12)
One atom of each set of equivalent atoms:
1 Y 0.2500 0.2500 0.0000 (multiplicity 4)  4 As 3.06-3.37, 4 Te 3.06-3.37
2 Te 0.0000 0.0000 0.5000 (multiplicity 2)  8 Y 3.06-3.37
3 As 0.0000 0.5000 0.5000 (multiplicity 2)  8 Y 3.06-3.37

---

No. 4
Compound: Li6I2BrN
Source: the Alexandria database
Functional: PBE
Structure: optimized geometry

Summary:
* energy: -3.3825 eV/atom

Unit cell a=6.5681 b=9.2969 c=6.5783 alpha=90.00 beta=90.00 gamma=90.00
Closest atoms and distances in Å follow each position.
Space group Pmmn (No. 59, origin choice 2)
One atom of each set of equivalent atoms:
1 Li 0.0403 0.2500 0.0405 (multiplicity 4)  1 N 1.95
2 Li 0.0407 0.2500 0.4579 (multiplicity 4)  1 N 1.94
3 Li 0.2500 0.0408 0.2470 (multiplicity 4)  1 N 1.94
4 I 0.2500 0.9996 0.7516 (multiplicity 4)  12 Li 3.28-3.34
5 Br 0.2500 0.7500 0.2516 (multiplicity 2)  6 Li 2.70-2.71
6 N 0.2500 0.2500 0.2493 (multiplicity 2)  6 Li 1.94-1.95

---

No. 5
Compound: Na4Y3ErS8
Source: the Alexandria database
Functional: PBE
Structure: optimized geometry

Summary:
* energy: -5.7434 eV/atom

Unit cell a=7.9581 b=7.9581 c=20.0463 alpha=90.00 beta=90.00 gamma=120.00
Closest atoms and distances in Å follow each position.
Space group R-3m (No. 166, hexagonal axes)
One atom of each set of equivalent atoms:
1 Na 0.0000 0.0000 0.0000 (multiplicity 3)  6 S 2.95
2 Na 0.0000 0.5000 0.0000 (multiplicity 9)  6 S 2.93
3 Y 0.0000 0.5000 0.5000 (multiplicity 9)  6 S 2.75-2.76
4 Er 0.0000 0.0000 0.5000 (multiplicity 3)  6 S 2.74
5 S 0.0000 0.0000 0.2425 (multiplicity 6)  3 Y 2.75, 3 Na 2.93
6 S 0.0023 0.5011 0.2421 (multiplicity 18)  1 Er 2.74, 2 Y 2.76, 3 Na 2.93-2.95

---

No. 6
Compound: Nb3Pt
Source: the Alexandria database
Functional: PBE
Structure: optimized geometry

Summary:
* energy: -9.2789 eV/atom
* energy of formation from the pure elements: -216 meV/atom

Unit cell a=2.7844 b=9.6918 c=5.2005 alpha=90.00 beta=90.00 gamma=90.00
Closest atoms and distances in Å follow each position.
Space group Imm2 (No. 44)
One atom of each set of equivalent atoms:
1 Nb 0.0000 0.0000 0.0000 (multiplicity 2)  8 Nb 2.78-3.07, 4 Pt 2.86-3.04
2 Nb 0.0000 0.2334 0.6706 (multiplicity 4)  9 Nb 2.78-3.07, 3 Pt 2.84-3.04
3 Pt 0.0000 0.5000 0.9797 (multiplicity 2)  2 Pt 2.78, 10 Nb 2.84-3.04

---

Question: What is the formula in the sixth record?
Answer: Nb3Pt

---

Question: What is the energy in the third record?
Answer: -6.2640 eV/atom

---

Repeat the sixth record exactly.
Compound: Nb3Pt
Source: the Alexandria database
Functional: PBE
Structure: optimized geometry

Summary:
* energy: -9.2789 eV/atom
* energy of formation from the pure elements: -216 meV/atom

Unit cell a=2.7844 b=9.6918 c=5.2005 alpha=90.00 beta=90.00 gamma=90.00
Closest atoms and distances in Å follow each position.
Space group Imm2 (No. 44)
One atom of each set of equivalent atoms:
1 Nb 0.0000 0.0000 0.0000 (multiplicity 2)  8 Nb 2.78-3.07, 4 Pt 2.86-3.04
2 Nb 0.0000 0.2334 0.6706 (multiplicity 4)  9 Nb 2.78-3.07, 3 Pt 2.84-3.04
3 Pt 0.0000 0.5000 0.9797 (multiplicity 2)  2 Pt 2.78, 10 Nb 2.84-3.04

---

Question: Look up the energy of the second one.
Answer: -4.6661 eV/atom